# 1
Entry from Alexandria via LeMat-Bulk: an optimized crystal structure of Al2GaRh5 (PBE).

formation energy = -0.7040 eV/atom
raw total energy = -6.61 eV/atom
Fermi-level density of states = 10.3 states/eV/cell

Lattice parameters (Å, degrees): 5.293 10.167 4.148 90.00 90.00 90.00
Space group Pbam (No. 55)
One atom of each set of equivalent atoms:
1 Al 0.145 0.135 0.000 (multiplicity 4)
2 Ga 0.000 0.500 0.500 (multiplicity 2)
3 Rh 0.000 0.000 0.500 (multiplicity 2)
4 Rh 0.139 0.732 0.500 (multiplicity 4)
5 Rh 0.167 0.387 0.000 (multiplicity 4)


# 2
Entry from Alexandria via LeMat-Bulk: an optimized crystal structure of AlGaRh2 (PBE).

formation energy = -0.8897 eV/atom
raw total energy = -6.26 eV/atom
Fermi-level density of states = 2.1 states/eV/cell

Lattice parameters (Å, degrees): 4.270 3.011 8.552 90.00 90.00 90.00
Space group Pmma (No. 51)
One atom of each set of equivalent atoms:
1 Al 0.250 0.000 0.123 (multiplicity 2)
2 Ga 0.250 0.000 0.627 (multiplicity 2)
3 Rh 0.250 0.500 0.373 (multiplicity 2)
4 Rh 0.250 0.500 0.877 (multiplicity 2)


# 3
Entry from Alexandria via LeMat-Bulk: an optimized crystal structure of Al3GaRh (PBE).

offset from the most stable computed form = 0 meV per atom
formation energy = -0.1413 eV/atom
raw total energy = -4.46 eV/atom
Fermi-level density of states = 2.0 states/eV/cell

Lattice parameters (Å, degrees): 4.719 4.719 4.719 90.00 90.00 90.00
Space group Pm-3m (No. 221)
One atom of each set of equivalent atoms:
1 Al 0.000 0.000 0.500 (multiplicity 3)
2 Ga 0.500 0.500 0.500 (multiplicity 1)
3 Rh 0.000 0.000 0.000 (multiplicity 1)


# 4
Entry from Alexandria via LeMat-Bulk: an optimized crystal structure of AlGa2Rh (PBE).

formation energy = -0.1284 eV/atom
raw total energy = -4.42 eV/atom
Fermi-level density of states = 8.2 states/eV/cell

Lattice parameters (Å, degrees): 7.984 7.984 4.826 90.00 90.00 90.00
Space group I-42d (No. 122)
One atom of each set of equivalent atoms:
1 Al 0.000 0.000 0.000 (multiplicity 4)
2 Ga 0.169 0.250 0.625 (multiplicity 8)
3 Rh 0.000 0.000 0.500 (multiplicity 4)


# 5
Entry from Alexandria via LeMat-Bulk: an optimized crystal structure of AlGa2Rh4 (PBE).

formation energy = -0.5752 eV/atom
raw total energy = -6.18 eV/atom
Fermi-level density of states = 4.3 states/eV/cell

Lattice parameters (Å, degrees): 5.919 5.919 5.950 90.00 90.00 90.00
Space group I4/mmm (No. 139)
One atom of each set of equivalent atoms:
1 Al 0.000 0.000 0.000 (multiplicity 2)
2 Ga 0.000 0.500 0.000 (multiplicity 4)
3 Rh 0.250 0.250 0.250 (multiplicity 8)


# 6
Entry from Alexandria via LeMat-Bulk: an optimized crystal structure of ScAlGaRh (PBE).

formation energy = -0.6703 eV/atom
raw total energy = -5.78 eV/atom
Fermi-level density of states = 5.0 states/eV/cell

Lattice parameters (Å, degrees): 4.3579 4.3579 12.9701 90.00 90.00 120.00
Space group R3m (No. 160, hexagonal axes)
One atom of each set of equivalent atoms:
1 Sc 0.0000 0.0000 0.0000 (multiplicity 3)
2 Al 0.0000 0.0000 0.2129 (multiplicity 3)
3 Ga 0.0000 0.0000 0.4383 (multiplicity 3)
4 Rh 0.0000 0.0000 0.8025 (multiplicity 3)